PuPa2 | PBE-GGA | optimized geometry

Unit cell a=8.1314 b=8.1314 c=8.1314 alpha=60.00 beta=60.00 gamma=60.00
Last column: nearest neighbours and their distance in Å.
Fractional positions:
Pu: 0.1250 0.1250 0.1250  4 Pa 2.49
Pu: 0.8750 0.8750 0.8750  4 Pa 2.49
Pa: 0.0000 0.0000 0.0000  2 Pu 2.49
Pa: 0.0000 0.0000 0.5000  2 Pu 2.49
Pa: 0.0000 0.5000 0.0000  2 Pu 2.49
Pa: 0.5000 0.0000 0.0000  2 Pu 2.49

Calculated values
Formation energy: 1.71 eV/atom
Crystal system: cubic